[1]
VASP calculation (PBE) on a relaxed structure of DyTm2Sc3Bi2Os.

Unit cell a=4.2113 b=7.8842 c=7.8842 alpha=119.98 beta=90.00 gamma=90.00
Last column: nearest neighbours and their distance in Å.
Fractional coordinates of all 9 atoms:
Dy: 0.0000 0.0000 0.0000  1 Os 3.09, 4 Bi 3.24, 4 Sc 3.39
Tm: 0.0000 0.3872 0.7719  1 Os 3.01, 4 Bi 3.22-3.23, 2 Sc 3.37
Tm: 0.0000 0.7719 0.3872  1 Os 3.01, 4 Bi 3.22-3.23, 2 Sc 3.37
Sc: 0.5000 0.1642 0.3878  2 Os 2.76, 2 Sc 3.05-3.08
Sc: 0.5000 0.3878 0.1642  2 Os 2.76, 2 Sc 3.05-3.08
Sc: 0.5000 0.6149 0.6149  2 Os 2.74
Bi: 0.5000 0.0549 0.7191  3 Sc 3.13-3.16, 4 Tm 3.22-3.23, 2 Dy 3.24
Bi: 0.5000 0.7191 0.0549  3 Sc 3.13-3.16, 4 Tm 3.22-3.23, 2 Dy 3.24
Os: 0.0000 0.3922 0.3922  6 Sc 2.74-2.76, 2 Tm 3.01

* symmetry: No. 38
* VASP energy: -57.3 eV per cell

---

[2]
VASP calculation (PBE) on a relaxed structure of HoB.

Unit cell a=3.7551 b=3.7551 c=3.7551 alpha=60.00 beta=60.00 gamma=60.00
Last column: nearest neighbours and their distance in Å.
Fractional coordinates of all 2 atoms:
Ho: 0.0000 0.0000 0.0000  6 B 2.66
B: 0.5000 0.5000 0.5000  6 Ho 2.66

* relative energy among the computed polymorphs: 0 meV per atom
* symmetry: No. 225

---

[3]
VASP calculation (PBE) on a relaxed structure of BaP2IrO8.

Unit cell a=4.8069 b=4.8069 c=7.7392 alpha=94.08 beta=94.08 gamma=65.72
Last column: nearest neighbours and their distance in Å.
Fractional coordinates of all 12 atoms:
Ba: 0.0000 0.0000 0.0000  6 O 2.74
P: 0.3716 0.3716 0.7036  4 O 1.52-1.57
P: 0.6284 0.6284 0.2964  4 O 1.52-1.57
Ir: 0.0000 0.0000 0.5000  6 O 1.97-2.01
O: 0.2445 0.2445 0.5440  1 P 1.54
O: 0.2435 0.7272 0.6905  1 P 1.57
O: 0.2728 0.7565 0.3095  1 P 1.57
O: 0.3123 0.3123 0.8849  1 P 1.52
O: 0.6877 0.6877 0.1151  1 P 1.52
O: 0.7272 0.2435 0.6905  1 P 1.57
O: 0.7565 0.2728 0.3095  1 P 1.57
O: 0.7555 0.7555 0.4560  1 P 1.54

* symmetry: No. 12
* VASP energy: -85.7 eV per cell